ZnCrRe2 PBE optimized geometry; energy = -8.72 eV per atom; space-group type = F-43m; magnetization = 2.05 μB/f.u.; D(E_F) = 2.8 states/eV/f.u.; energy of formation from the pure elements = 0.23 eV per atom; V = 14.2 Å³ per atom
1.0
4.318 0.000 0.000
2.159 3.739 0.000
2.159 1.246 3.525
Cr Re Zn
1 2 1
Direct
0.500 0.500 0.500
0.000 0.000 0.000
0.250 0.250 0.250
0.750 0.750 0.750

=====

CsTeAs2C PBE optimized geometry; energy = -1.52 eV per atom; space-group type = P4/mmm; magnetization = 2.82 μB/f.u.; D(E_F) = 13.0 states/eV/f.u.; V = 48.1 Å³ per atom
1.0
5.947 0.000 0.000
0.000 6.807 0.000
0.000 0.000 5.947
Cs As Te C
1 2 1 1
Direct
0.000 0.000 0.000
0.000 0.000 0.500
0.500 0.000 0.000
0.000 0.500 0.000
0.500 0.500 0.500

=====

AcSb3Pt3 PBE optimized geometry; energy = -5.44 eV per atom; space-group type = Pm-3n; magnetization = 0.00 μB/f.u.; D(E_F) = 4.2 states/eV/f.u.; V = 27.8 Å³ per atom
1.0
-6.350 -3.052 1.930
-1.039 -2.196 -6.890
3.459 -6.263 1.475
Sb Ac Pt
6 2 6
Direct
0.250 0.000 0.500
0.000 0.500 0.250
0.500 0.750 0.000
0.750 0.000 0.500
0.000 0.500 0.750
0.500 0.250 0.000
0.500 0.500 0.500
0.000 0.000 0.000
0.000 0.250 0.500
0.000 0.750 0.500
0.500 0.000 0.750
0.750 0.500 0.000
0.500 0.000 0.250
0.250 0.500 0.000

=====

Sr3Os5N12 PBE optimized geometry; energy = -8.10 eV per atom; space-group type = Ia-3d; magnetization = 0.00 μB/f.u.; D(E_F) = 5.7 states/eV/f.u.; V = 13.9 Å³ per atom
1.0
-7.207 1.662 8.540
10.400 -1.615 4.108
-0.016 9.054 -6.757
Sr Os N
12 20 48
Direct
0.750 0.375 0.125
0.875 0.750 0.125
0.375 0.750 0.625
0.250 0.125 0.375
0.875 0.125 0.250
0.375 0.625 0.250
0.625 0.375 0.750
0.125 0.875 0.750
0.750 0.875 0.625
0.625 0.250 0.375
0.125 0.250 0.875
0.250 0.625 0.875
0.125 0.375 0.250
0.000 0.500 0.000
0.000 0.000 0.000
0.375 0.250 0.125
0.500 0.000 0.500
0.500 0.500 0.000
0.125 0.750 0.375
0.750 0.125 0.875
0.750 0.625 0.375
0.375 0.125 0.750
0.625 0.875 0.250
0.500 0.500 0.500
0.500 0.000 0.000
0.000 0.000 0.500
0.250 0.375 0.625
0.250 0.875 0.125
0.000 0.500 0.500
0.875 0.250 0.625
0.625 0.750 0.875
0.875 0.625 0.750
0.684 0.108 0.999
0.315 0.499 0.392
0.001 0.392 0.316
0.499 0.184 0.108
0.577 0.684 0.685
0.001 0.608 0.185
0.315 0.816 0.423
0.108 0.923 0.108
0.608 0.001 0.685
0.684 0.577 0.185
0.816 0.501 0.392
0.815 0.892 0.999
0.108 0.684 0.499
0.392 0.392 0.077
0.077 0.892 0.392
0.423 0.108 0.608
0.077 0.185 0.184
0.501 0.685 0.108
0.815 0.923 0.316
0.108 0.423 0.108
0.392 0.001 0.816
0.608 0.608 0.423
0.892 0.815 0.499
0.816 0.315 0.923
0.392 0.392 0.577
0.108 0.185 0.501
0.184 0.685 0.077
0.185 0.077 0.684
0.608 0.999 0.184
0.892 0.577 0.892
0.499 0.315 0.892
0.577 0.892 0.392
0.923 0.815 0.816
0.923 0.108 0.608
0.892 0.316 0.501
0.185 0.108 0.001
0.608 0.608 0.923
0.392 0.999 0.315
0.316 0.423 0.815
0.184 0.499 0.608
0.892 0.077 0.892
0.685 0.184 0.577
0.501 0.816 0.892
0.999 0.392 0.815
0.423 0.316 0.315
0.999 0.608 0.684
0.685 0.501 0.608
0.316 0.892 0.001

=====

- Number 4 is which compound?
  Sr3Os5N12

=====

Repeat the third record exactly.
AcSb3Pt3 PBE optimized geometry; energy = -5.44 eV per atom; space-group type = Pm-3n; magnetization = 0.00 μB/f.u.; D(E_F) = 4.2 states/eV/f.u.; V = 27.8 Å³ per atom
1.0
-6.350 -3.052 1.930
-1.039 -2.196 -6.890
3.459 -6.263 1.475
Sb Ac Pt
6 2 6
Direct
0.250 0.000 0.500
0.000 0.500 0.250
0.500 0.750 0.000
0.750 0.000 0.500
0.000 0.500 0.750
0.500 0.250 0.000
0.500 0.500 0.500
0.000 0.000 0.000
0.000 0.250 0.500
0.000 0.750 0.500
0.500 0.000 0.750
0.750 0.500 0.000
0.500 0.000 0.250
0.250 0.500 0.000

=====

- What is the formula in the first record?
  ZnCrRe2

=====

Repeat the third record exactly.
AcSb3Pt3 PBE optimized geometry; energy = -5.44 eV per atom; space-group type = Pm-3n; magnetization = 0.00 μB/f.u.; D(E_F) = 4.2 states/eV/f.u.; V = 27.8 Å³ per atom
1.0
-6.350 -3.052 1.930
-1.039 -2.196 -6.890
3.459 -6.263 1.475
Sb Ac Pt
6 2 6
Direct
0.250 0.000 0.500
0.000 0.500 0.250
0.500 0.750 0.000
0.750 0.000 0.500
0.000 0.500 0.750
0.500 0.250 0.000
0.500 0.500 0.500
0.000 0.000 0.000
0.000 0.250 0.500
0.000 0.750 0.500
0.500 0.000 0.750
0.750 0.500 0.000
0.500 0.000 0.250
0.250 0.500 0.000